Entry 1:
The following is a DFT calculation (GGA-PBE) of a geometry-optimized MgZnBr2 structure.

Results
* mass density: 3150 kg/m3
* ΔE_f (raw): -84 kJ per mole of atoms
* energy above the most stable polymorph in this dataset: 1 kJ/mol of formula units

Unit cell a=6.6484 b=3.8386 c=10.5302 alpha=90.00 beta=101.79 gamma=90.00
Last column: nearest neighbours and their distance in Å.
Space group C2/m (No. 12)
Inequivalent atoms, fractional coordinates:
Mg  0.0000  0.0000  0.0000 x2  6 Br 2.69
Zn  0.0000  0.5000  0.5000 x2  6 Zn 3.84, 6 Br 4.24-4.26
Br  0.2145  0.5000  0.1478 x4  3 Mg 2.69

***

Entry 2:
The following is a DFT calculation (GGA-PBE) of a geometry-optimized Mg2ZnBr structure.

Results
* mass density: 3501 kg/m3
* ΔE_f (raw): -5 kJ per mole of atoms
* energy above the most stable polymorph in this dataset: 126 kJ/mol of formula units

Unit cell a=4.5655 b=4.5655 c=8.8264 alpha=90.00 beta=90.00 gamma=90.00
Last column: nearest neighbours and their distance in Å.
Space group I4/mmm (No. 139)
Inequivalent atoms, fractional coordinates:
Mg  0.0000  0.5000  0.2500 x4  4 Br 3.17, 4 Zn 3.17, 4 Mg 3.23
Zn  0.0000  0.0000  0.0000 x2  8 Mg 3.17, 4 Br 3.23
Br  0.0000  0.0000  0.5000 x2  8 Mg 3.17, 4 Zn 3.23

***

Entry 3:
The following is a DFT calculation (GGA-PBE) of a geometry-optimized MgZnBr2 structure.

Results
* mass density: 2723 kg/m3
* ΔE_f (raw): -69 kJ per mole of atoms
* energy above the most stable polymorph in this dataset: 60 kJ/mol of formula units

Unit cell a=4.4292 b=3.6439 c=9.5865 alpha=90.00 beta=100.39 gamma=90.00
Last column: nearest neighbours and their distance in Å.
Space group P2/m (No. 10)
Inequivalent atoms, fractional coordinates:
Mg  0.0000  0.0000  0.0000 x1  4 Br 2.57
Zn  0.5000  0.0000  0.5000 x1  2 Zn 3.64
Br  0.1493  0.5000  0.8359 x2  2 Mg 2.57

***

Entry 4:
The following is a DFT calculation (GGA-PBE) of a geometry-optimized Mg2ZnBr structure.

Results
* mass density: 3742 kg/m3
* ΔE_f (raw): -28 kJ per mole of atoms
* energy above the most stable polymorph in this dataset: 31 kJ/mol of formula units

Unit cell a=3.3120 b=3.3120 c=7.8459 alpha=90.00 beta=90.00 gamma=90.00
Last column: nearest neighbours and their distance in Å.
Space group P4/mmm (No. 123)
Inequivalent atoms, fractional coordinates:
Mg  0.0000  0.0000  0.2241 x2  4 Zn 2.93, 4 Br 3.19
Zn  0.5000  0.5000  0.0000 x1  8 Mg 2.93
Br  0.5000  0.5000  0.5000 x1  8 Mg 3.19, 4 Br 3.31

***

Entry 5:
The following is a DFT calculation (GGA-PBE) of a geometry-optimized MgZnBr2 structure.

Results
* mass density: 2637 kg/m3
* ΔE_f (raw): -84 kJ per mole of atoms
* energy above the most stable polymorph in this dataset: 0 kJ/mol of formula units

Unit cell a=3.8356 b=3.8356 c=36.9953 alpha=90.00 beta=90.00 gamma=120.00
Last column: nearest neighbours and their distance in Å.
Space group R-3m (No. 166, hexagonal axes)
Inequivalent atoms, fractional coordinates:
Mg  0.0000  0.0000  0.0000 x3  6 Br 2.69
Zn  0.0000  0.0000  0.5000 x3  6 Zn 3.84
Br  0.0000  0.0000  0.3746 x6  3 Mg 2.69

***

Entry 6:
The following is a DFT calculation (GGA-PBE) of a geometry-optimized MgZnBr2 structure.

Results
* mass density: 4355 kg/m3
* ΔE_f (raw): -29 kJ per mole of atoms
* energy above the most stable polymorph in this dataset: 220 kJ/mol of formula units

Unit cell a=5.0719 b=5.0719 c=3.6990 alpha=90.00 beta=90.00 gamma=90.00
Last column: nearest neighbours and their distance in Å.
Space group P4/mmm (No. 123)
Inequivalent atoms, fractional coordinates:
Mg  0.0000  0.0000  0.0000 x1  8 Br 3.14
Zn  0.5000  0.5000  0.0000 x1  8 Br 3.14
Br  0.0000  0.5000  0.5000 x2  4 Mg 3.14, 4 Zn 3.14

***

Entry 7:
The following is a DFT calculation (GGA-PBE) of a geometry-optimized MgZnBr2 structure.

Results
* mass density: 2679 kg/m3
* ΔE_f (raw): -73 kJ per mole of atoms
* energy above the most stable polymorph in this dataset: 44 kJ/mol of formula units

Unit cell a=7.8865 b=7.8865 c=9.9478 alpha=90.00 beta=90.00 gamma=90.00
Last column: nearest neighbours and their distance in Å.
Space group I-42d (No. 122)
Inequivalent atoms, fractional coordinates:
Mg  0.0000  0.0000  0.0000 x4  4 Br 2.54
Zn  0.0000  0.0000  0.5000 x4  4 Br 3.75
Br  0.1273  0.2500  0.1250 x8  2 Mg 2.54

***

Entry 8:
The following is a DFT calculation (GGA-PBE) of a geometry-optimized Mg2ZnBr structure.

Results
* mass density: 3583 kg/m3
* ΔE_f (raw): -36 kJ per mole of atoms
* energy above the most stable polymorph in this dataset: 0 kJ/mol of formula units

Unit cell a=3.4358 b=3.3422 c=7.8272 alpha=90.00 beta=90.09 gamma=90.00
Last column: nearest neighbours and their distance in Å.
Space group P2/m (No. 10)
Inequivalent atoms, fractional coordinates:
Mg  0.0002  0.0000  0.2131 x2  2 Br 2.80, 4 Zn 2.92
Zn  0.5000  0.5000  0.0000 x1  8 Mg 2.92
Br  0.0000  0.5000  0.5000 x1  4 Mg 2.80

***

Entry 9:
The following is a DFT calculation (GGA-PBE) of a geometry-optimized MgZn2Br structure.

Results
* mass density: 4461 kg/m3
* ΔE_f (raw): -7 kJ per mole of atoms
* energy above the most stable polymorph in this dataset: 78 kJ/mol of formula units

Unit cell a=3.5604 b=3.5604 c=23.9082 alpha=90.00 beta=90.00 gamma=120.00
Last column: nearest neighbours and their distance in Å.
Space group R-3m (No. 166, hexagonal axes)
Inequivalent atoms, fractional coordinates:
Mg  0.0000  0.0000  0.0000 x3  6 Zn 2.83
Zn  0.0000  0.0000  0.2518 x6  3 Mg 2.83, 3 Br 2.89
Br  0.0000  0.0000  0.5000 x3  6 Zn 2.89

***

Entry 10:
The following is a DFT calculation (GGA-PBE) of a geometry-optimized MgZn2Br structure.

Results
* mass density: 4550 kg/m3
* ΔE_f (raw): -4 kJ per mole of atoms
* energy above the most stable polymorph in this dataset: 89 kJ/mol of formula units

Unit cell a=3.3711 b=3.3711 c=7.5472 alpha=90.00 beta=90.00 gamma=90.00
Last column: nearest neighbours and their distance in Å.
Space group P4/mmm (No. 123)
Inequivalent atoms, fractional coordinates:
Mg  0.0000  0.0000  0.0000 x1  8 Zn 2.98
Zn  0.5000  0.5000  0.2378 x2  4 Mg 2.98, 4 Br 3.10
Br  0.0000  0.0000  0.5000 x1  8 Zn 3.10, 4 Br 3.37

***

Entry 11:
The following is a DFT calculation (GGA-PBE) of a geometry-optimized MgZnBr2 structure.

Results
* mass density: 2662 kg/m3
* ΔE_f (raw): -70 kJ per mole of atoms
* energy above the most stable polymorph in this dataset: 55 kJ/mol of formula units

Unit cell a=13.2884 b=3.6225 c=8.1160 alpha=90.00 beta=127.19 gamma=90.00
Last column: nearest neighbours and their distance in Å.
Space group Cm (No. 8)
Inequivalent atoms, fractional coordinates:
Mg  0.0000  0.0000  0.0000 x2  4 Br 2.59
Zn  0.2379  0.0000  0.7331 x2  2 Mg 3.31, 6 Br 3.59-3.65, 2 Zn 3.62
Br  0.0327  0.5000  0.2572 x2  2 Mg 2.59
Br  0.0381  0.5000  0.8143 x2  2 Mg 2.59

***

Entry 12:
The following is a DFT calculation (GGA-PBE) of a geometry-optimized MgZnBr2 structure.

Results
* mass density: 3433 kg/m3
* ΔE_f (raw): -73 kJ per mole of atoms
* energy above the most stable polymorph in this dataset: 46 kJ/mol of formula units

Unit cell a=5.4003 b=3.6508 c=6.5055 alpha=90.00 beta=109.78 gamma=90.00
Last column: nearest neighbours and their distance in Å.
Space group Pm (No. 6)
Inequivalent atoms, fractional coordinates:
Mg  0.0000  0.0000  0.0000 x1  3 Br 2.59
Zn  0.3175  0.5000  0.8453 x1  2 Br 2.73, 2 Mg 2.91
Br  0.5661  0.0000  0.6697 x1  1 Mg 2.59, 2 Zn 2.73
Br  0.8974  0.5000  0.2424 x1  2 Mg 2.59